# LiSnMoF6

An optimized crystal structure of LiSnMoF6 (PBE with a Hubbard U, Alexandria via LeMat-Bulk).

Cell and atoms, written as CIF:
```
data_LiSnMoF6
_chemical_formula_sum 'Li2 Sn2 Mo2 F12'
_symmetry_space_group_name_H-M 'P -3 1 c'
_symmetry_Int_Tables_number 163
_symmetry_space_group_name_Hall '-P 3 2c'
_cell_length_a 5.4771
_cell_length_b 5.4771
_cell_length_c 10.4025
_cell_angle_alpha 90.00
_cell_angle_beta 90.00
_cell_angle_gamma 120.00
loop_
_atom_site_label
_atom_site_type_symbol
_atom_site_fract_x
_atom_site_fract_y
_atom_site_fract_z
_atom_site_occupancy
Li1 Li 0.3333 0.6667 0.2500 1
Sn1 Sn 0.0000 0.0000 0.0000 1
Mo1 Mo 0.3333 0.6667 0.7500 1
F1 F 0.0017 0.3556 0.1413 1
```

magnetic moment = 0.333 μB/atom
calculated total energy = -5.2550 eV/atom